(1)
Density functional theory data (GGA-PBE) for an optimized crystal structure of BiN2F.

Unit cell a=3.1911 b=4.6067 c=7.7903 alpha=90.80 beta=73.34 gamma=89.53
Closest atoms and distances in Å follow each position.
Sites, in units of the cell vectors:
Bi  0.4946  0.7199  0.1843  2 F 2.30
N  0.8628  0.1223  0.6840  1 N 1.11
N  0.8471  0.3640  0.6851  1 N 1.11
F  0.4944  0.2197  0.1853  2 Bi 2.30

Values from the calculation:
- Density of states at the Fermi level: 0.335 states/eV per atom
- ΔE_f (raw): -556 meV/atom
- Size of the total moment: 0.0 μB per formula unit
- Volume: 27.4 Å³ per atom
- Energy relative to the lowest polymorph listed for this composition: 0 meV per atom
- Uncorrected energy: -6.156 eV/atom
- Calculated density: 3.88 Mg/m³
- Symmetry: P1

***

(2)
Density functional theory data (GGA-PBE) for an optimized crystal structure of BiN2F.

Unit cell a=6.1803 b=6.1803 c=6.1803 alpha=33.38 beta=33.38 gamma=33.38
Closest atoms and distances in Å follow each position.
Sites, in units of the cell vectors:
N  0.8957  0.8957  0.8957  1 F 1.82
N  0.1043  0.1043  0.1043  1 F 1.82
Bi  0.5000  0.5000  0.5000  6 N 2.32
F  0.0000  0.0000  0.0000  2 N 1.82

Values from the calculation:
- Density of states at the Fermi level: 0.501 states/eV per atom
- ΔE_f (raw): 1016 meV/atom
- Size of the total moment: 0.0 μB per formula unit
- Volume: 15.9 Å³ per atom
- Energy relative to the lowest polymorph listed for this composition: 1571 meV per atom
- Uncorrected energy: -4.585 eV/atom
- Calculated density: 6.68 Mg/m³
- Symmetry: R-3m

***

(3)
Density functional theory data (GGA-PBE) for an optimized crystal structure of Bi2NF.

Unit cell a=4.6388 b=4.6388 c=4.6388 alpha=60.00 beta=60.00 gamma=60.00
Closest atoms and distances in Å follow each position.
Sites, in units of the cell vectors:
Bi  0.7500  0.7500  0.7500  4 N 2.84, 4 F 2.84
Bi  0.2500  0.2500  0.2500  4 F 2.84, 4 N 2.84
F  0.5000  0.5000  0.5000  8 Bi 2.84
N  0.0000  0.0000  0.0000  8 Bi 2.84

Values from the calculation:
- Density of states at the Fermi level: 0.532 states/eV per atom
- ΔE_f (raw): 132 meV/atom
- Size of the total moment: 0.0 μB per formula unit
- Volume: 17.6 Å³ per atom
- Energy relative to the lowest polymorph listed for this composition: 297 meV per atom
- Uncorrected energy: -4.357 eV/atom
- Calculated density: 10.61 Mg/m³
- Symmetry: Fm-3m

***

(4)
Density functional theory data (GGA-PBE) for an optimized crystal structure of BiNF4.

Unit cell a=7.4530 b=6.5311 c=8.5052 alpha=90.97 beta=90.00 gamma=90.00
Closest atoms and distances in Å follow each position.
Sites, in units of the cell vectors:
F  0.1928  0.5316  0.2714  2 Bi 2.25-2.35
F  0.9011  0.1721  0.3962  1 N 1.35
F  0.0989  0.8279  0.6038  1 N 1.35
F  0.8072  0.4684  0.7286  2 Bi 2.25-2.35
F  0.5574  0.6400  0.8993  2 Bi 2.25-2.48
F  0.4011  0.3279  0.6038  1 N 1.35
F  0.5989  0.6721  0.3962  1 N 1.35
F  0.9426  0.1400  0.8993  2 Bi 2.25-2.48
F  0.3072  0.0316  0.2714  2 Bi 2.25-2.35
F  0.6801  0.9638  0.0574  2 Bi 2.27-2.41
F  0.0574  0.8600  0.1007  2 Bi 2.25-2.48
F  0.4426  0.3600  0.1007  2 Bi 2.25-2.48
F  0.8199  0.4638  0.0574  2 Bi 2.27-2.41
F  0.1801  0.5362  0.9426  2 Bi 2.27-2.41
F  0.3199  0.0362  0.9426  2 Bi 2.27-2.41
F  0.6928  0.9684  0.7286  2 Bi 2.25-2.35
Bi  0.8405  0.7592  0.8917  6 F 2.25-2.48
Bi  0.3405  0.7408  0.1083  6 F 2.25-2.48
Bi  0.6595  0.2592  0.8917  6 F 2.25-2.48
Bi  0.1595  0.2408  0.1083  6 F 2.25-2.48
N  0.7791  0.6901  0.3965  1 F 1.35
N  0.2209  0.3099  0.6035  1 F 1.35
N  0.2791  0.8099  0.6035  1 F 1.35
N  0.7209  0.1901  0.3965  1 F 1.35

Values from the calculation:
- Density of states at the Fermi level: 0.000 states/eV per atom
- ΔE_f (raw): -1207 meV/atom
- Size of the total moment: 2.0 μB per formula unit
- Volume: 17.2 Å³ per atom
- Uncorrected energy: -4.489 eV/atom
- Calculated density: 4.80 Mg/m³
- Symmetry: P2_1/c

***

(5)
Density functional theory data (GGA-PBE) for an optimized crystal structure of BiN2F4.

Unit cell a=3.8448 b=3.8440 c=10.3475 alpha=100.78 beta=100.71 gamma=90.00
Closest atoms and distances in Å follow each position.
Sites, in units of the cell vectors:
N  0.3101  0.3103  0.6203  4 F 3.20
N  0.6899  0.6897  0.3797  4 F 3.20
F  0.4382  0.9380  0.8765  2 Bi 2.28, 1 F 2.47
F  0.5618  0.0620  0.1235  2 Bi 2.28, 1 F 2.47
F  0.0618  0.5620  0.1236  2 Bi 2.28, 1 F 2.47
F  0.9382  0.4380  0.8764  2 Bi 2.28, 1 F 2.47
Bi  0.0000  0.0000  0.0000  8 F 2.28

Values from the calculation:
- Density of states at the Fermi level: 1.230 states/eV per atom
- ΔE_f (raw): 83 meV/atom
- Size of the total moment: 5.9 μB per formula unit
- Volume: 21.1 Å³ per atom
- Uncorrected energy: -3.920 eV/atom
- Calculated density: 3.52 Mg/m³
- Symmetry: C2/m

***

(6)
Density functional theory data (GGA-PBE) for an optimized crystal structure of BiN3F.

Unit cell a=4.3739 b=4.3739 c=4.3739 alpha=90.00 beta=90.00 gamma=90.00
Closest atoms and distances in Å follow each position.
Sites, in units of the cell vectors:
F  0.5000  0.5000  0.5000  12 N 3.09
N  0.0000  0.0000  0.5000  2 Bi 2.19
N  0.5000  0.0000  0.0000  2 Bi 2.19
N  0.0000  0.5000  0.0000  2 Bi 2.19
Bi  0.0000  0.0000  0.0000  6 N 2.19

Values from the calculation:
- Density of states at the Fermi level: 0.121 states/eV per atom
- ΔE_f (raw): 2126 meV/atom
- Size of the total moment: 5.2 μB per formula unit
- Volume: 16.7 Å³ per atom
- Uncorrected energy: -4.020 eV/atom
- Calculated density: 5.36 Mg/m³
- Symmetry: Pm-3m

***

(7)
Density functional theory data (GGA-PBE) for an optimized crystal structure of Bi3NF.

Unit cell a=4.9194 b=4.9194 c=4.9194 alpha=90.00 beta=90.00 gamma=90.00
Closest atoms and distances in Å follow each position.
Sites, in units of the cell vectors:
Bi  0.5000  0.0000  0.0000  2 N 2.46
Bi  0.0000  0.0000  0.5000  2 N 2.46
Bi  0.0000  0.5000  0.0000  2 N 2.46
F  0.5000  0.5000  0.5000  12 Bi 3.48
N  0.0000  0.0000  0.0000  6 Bi 2.46

Values from the calculation:
- Density of states at the Fermi level: 0.734 states/eV per atom
- ΔE_f (raw): 209 meV/atom
- Size of the total moment: 0.0 μB per formula unit
- Volume: 23.8 Å³ per atom
- Energy relative to the lowest polymorph listed for this composition: 0 meV per atom
- Uncorrected energy: -4.159 eV/atom
- Calculated density: 9.20 Mg/m³
- Symmetry: Pm-3m

***

(8)
Density functional theory data (GGA-PBE) for an optimized crystal structure of BiN2F.

Unit cell a=5.3761 b=5.3761 c=6.3736 alpha=65.06 beta=65.06 gamma=90.00
Closest atoms and distances in Å follow each position.
Sites, in units of the cell vectors:
F  0.2500  0.7500  0.5000  4 N 2.38
F  0.5000  0.5000  0.0000  4 N 2.38
N  0.6522  0.1250  0.2500  2 Bi 2.21, 2 F 2.38
N  0.8750  0.9022  0.7500  2 Bi 2.21, 2 F 2.38
N  0.3750  0.3478  0.7500  2 Bi 2.21, 2 F 2.38
N  0.0978  0.6250  0.2500  2 Bi 2.21, 2 F 2.38
Bi  0.0000  0.0000  0.0000  4 N 2.21
Bi  0.7500  0.2500  0.5000  4 N 2.21

Values from the calculation:
- Density of states at the Fermi level: 0.115 states/eV per atom
- ΔE_f (raw): 1382 meV/atom
- Size of the total moment: 2.0 μB per formula unit
- Volume: 18.5 Å³ per atom
- Energy relative to the lowest polymorph listed for this composition: 1937 meV per atom
- Uncorrected energy: -4.219 eV/atom
- Calculated density: 5.75 Mg/m³
- Symmetry: I-42d

***

(9)
Density functional theory data (GGA-PBE) for an optimized crystal structure of BiN2F.

Unit cell a=4.0426 b=4.0426 c=4.0426 alpha=60.00 beta=60.00 gamma=60.00
Closest atoms and distances in Å follow each position.
Sites, in units of the cell vectors:
N  0.2500  0.2500  0.2500  4 F 2.48, 4 Bi 2.48
N  0.7500  0.7500  0.7500  4 F 2.48, 4 Bi 2.48
Bi  0.5000  0.5000  0.5000  8 N 2.48
F  0.0000  0.0000  0.0000  8 N 2.48

Values from the calculation:
- Density of states at the Fermi level: 0.308 states/eV per atom
- ΔE_f (raw): 1201 meV/atom
- Size of the total moment: 2.1 μB per formula unit
- Volume: 11.7 Å³ per atom
- Energy relative to the lowest polymorph listed for this composition: 1756 meV per atom
- Uncorrected energy: -4.400 eV/atom
- Calculated density: 9.10 Mg/m³
- Symmetry: Fm-3m

***

(10)
Density functional theory data (GGA-PBE) for an optimized crystal structure of BiN2F.

Unit cell a=5.0683 b=5.0683 c=5.0683 alpha=42.46 beta=42.46 gamma=42.46
Closest atoms and distances in Å follow each position.
Sites, in units of the cell vectors:
N  0.7355  0.7355  0.7355  3 Bi 2.32, 3 F 2.51
N  0.2645  0.2645  0.2645  3 Bi 2.32, 3 F 2.51
F  0.5000  0.5000  0.5000  6 N 2.51
Bi  0.0000  0.0000  0.0000  6 N 2.32

Values from the calculation:
- Density of states at the Fermi level: 0.584 states/eV per atom
- ΔE_f (raw): 1188 meV/atom
- Size of the total moment: 1.9 μB per formula unit
- Volume: 13.4 Å³ per atom
- Energy relative to the lowest polymorph listed for this composition: 1744 meV per atom
- Uncorrected energy: -4.413 eV/atom
- Calculated density: 7.91 Mg/m³
- Symmetry: R-3m

***

(11)
Density functional theory data (GGA-PBE) for an optimized crystal structure of Bi2N2F7.

Unit cell a=8.5402 b=8.5402 c=8.5402 alpha=155.43 beta=130.82 gamma=55.73
Closest atoms and distances in Å follow each position.
Sites, in units of the cell vectors:
Bi  0.1493  0.7438  0.4055  8 F 2.27-2.51
Bi  0.6617  0.2562  0.4055  8 F 2.27-2.51
N  0.2180  0.0000  0.2180  1 F 1.35
N  0.7817  0.5000  0.2817  8 F 3.07-3.22
F  0.3984  0.6870  0.7114  3 Bi 2.34-2.51
F  0.7511  0.8467  0.9044  2 Bi 2.27
F  0.4077  0.0000  0.4077  1 N 1.35
F  0.4103  0.3123  0.0980  3 Bi 2.34-2.50
F  0.0577  0.1533  0.9044  2 Bi 2.27
F  0.0244  0.3130  0.7114  3 Bi 2.34-2.51
F  0.7857  0.6877  0.0980  3 Bi 2.34-2.50

Values from the calculation:
- Density of states at the Fermi level: 0.000 states/eV per atom
- ΔE_f (raw): -1063 meV/atom
- Size of the total moment: 5.0 μB per formula unit
- Volume: 17.7 Å³ per atom
- Uncorrected energy: -4.473 eV/atom
- Calculated density: 4.93 Mg/m³
- Symmetry: Imm2

***

(12)
Density functional theory data (GGA-PBE) for an optimized crystal structure of BiN3F.

Unit cell a=3.8201 b=3.8201 c=3.8201 alpha=90.00 beta=90.00 gamma=90.00
Closest atoms and distances in Å follow each position.
Sites, in units of the cell vectors:
N  0.5000  0.0000  0.0000  2 F 1.91
N  0.0000  0.5000  0.0000  2 F 1.91
N  0.0000  0.0000  0.5000  2 F 1.91
Bi  0.5000  0.5000  0.5000  12 N 2.70
F  0.0000  0.0000  0.0000  6 N 1.91

Values from the calculation:
- Density of states at the Fermi level: 0.798 states/eV per atom
- ΔE_f (raw): 2355 meV/atom
- Size of the total moment: 0.0 μB per formula unit
- Volume: 11.1 Å³ per atom
- Uncorrected energy: -3.790 eV/atom
- Calculated density: 8.04 Mg/m³
- Symmetry: Pm-3m

***

(13)
Density functional theory data (GGA-PBE) for an optimized crystal structure of NbBiN2F.

Unit cell a=4.3622 b=4.3622 c=4.2367 alpha=90.00 beta=90.00 gamma=90.00
Closest atoms and distances in Å follow each position.
Sites, in units of the cell vectors:
N  0.5000  0.0000  0.0000  2 Bi 2.18
N  0.0000  0.5000  0.0000  2 Bi 2.18
F  0.0000  0.0000  0.5000  2 Bi 2.12
Bi  0.0000  0.0000  0.0000  2 F 2.12, 4 N 2.18
Nb  0.5000  0.5000  0.5000  8 N 3.04, 4 F 3.08

Values from the calculation:
- Density of states at the Fermi level: 0.595 states/eV per atom
- ΔE_f (raw): 968 meV/atom
- Size of the total moment: 2.4 μB per formula unit
- Volume: 16.1 Å³ per atom
- Energy relative to the lowest polymorph listed for this composition: 1409 meV per atom
- Uncorrected energy: -5.526 eV/atom
- Calculated density: 7.19 Mg/m³
- Symmetry: P4/mmm

***

(14)
Density functional theory data (GGA-PBE) for an optimized crystal structure of NbBiN2F.

Unit cell a=4.1825 b=4.1825 c=4.1108 alpha=90.00 beta=90.00 gamma=90.00
Closest atoms and distances in Å follow each position.
Sites, in units of the cell vectors:
Nb  0.0000  0.0000  0.0000  2 F 2.06, 4 N 2.09
Bi  0.5000  0.5000  0.5000  8 N 2.93, 4 F 2.96
N  0.5000  0.0000  0.0000  2 Nb 2.09
N  0.0000  0.5000  0.0000  2 Nb 2.09
F  0.0000  0.0000  0.5000  2 Nb 2.06

Values from the calculation:
- Density of states at the Fermi level: 0.559 states/eV per atom
- ΔE_f (raw): -441 meV/atom
- Size of the total moment: 0.0 μB per formula unit
- Volume: 14.4 Å³ per atom
- Energy relative to the lowest polymorph listed for this composition: 0 meV per atom
- Uncorrected energy: -6.936 eV/atom
- Calculated density: 8.06 Mg/m³
- Symmetry: P4/mmm